Computed, not measured: a relaxed structure of Dy4AgSb at the PBE-GGA level of DFT.

a = 7.801 Å, b = 7.174 Å, c = 6.859 Å
α = 90.00°, β = 93.99°, γ = 90.00°
Space group P2_1/c (No. 14)
One atom of each set of equivalent atoms:
Dy 0.144 0.151 0.387 [4 per cell]
Dy 0.286 0.678 0.305 [4 per cell]
Ag 0.000 0.000 0.000 [2 per cell]
Sb 0.500 0.000 0.500 [2 per cell]

## Properties
Total energy, eV per atom: -4.44
Volume, Å³/cell: 382.9
Magnetic moment, μB per formula unit: 0.00

---

Computed, not measured: a relaxed structure of Dy2AgSb at the PBE-GGA level of DFT.

a = 5.050 Å, b = 5.050 Å, c = 3.970 Å
α = 90.00°, β = 90.00°, γ = 90.00°
Space group P4/mmm (No. 123)
One atom of each set of equivalent atoms:
Dy 0.000 0.500 0.000 [2 per cell]
Ag 0.000 0.000 0.500 [1 per cell]
Sb 0.500 0.500 0.500 [1 per cell]

## Properties
Total energy, eV per atom: -4.64
Volume, Å³/cell: 101.2
Magnetic moment, μB per formula unit: 0.01

---

Computed, not measured: a relaxed structure of DyAgSb2 at the PBE-GGA level of DFT.

a = 4.357 Å, b = 4.357 Å, c = 10.361 Å
α = 90.00°, β = 90.00°, γ = 90.00°
Space group P4/nmm (No. 129, origin choice 2)
One atom of each set of equivalent atoms:
Dy 0.250 0.250 0.235 [2 per cell]
Ag 0.250 0.750 0.500 [2 per cell]
Sb 0.250 0.250 0.686 [2 per cell]
Sb 0.250 0.750 0.000 [2 per cell]

## Properties
Volume, Å³/cell: 196.7
Magnetic moment, μB per formula unit: 0.00
E above lowest polymorph, meV per atom: 0

---

Computed, not measured: a relaxed structure of DyAg2Sb at the PBE-GGA level of DFT.

a = 4.308 Å, b = 4.308 Å, c = 4.882 Å
α = 90.00°, β = 90.00°, γ = 90.00°
Space group P4/mmm (No. 123)
One atom of each set of equivalent atoms:
Dy 0.000 0.000 0.000 [1 per cell]
Ag 0.000 0.500 0.500 [2 per cell]
Sb 0.500 0.500 0.000 [1 per cell]

## Properties
Total energy, eV per atom: -4.02
Volume, Å³/cell: 90.6
Magnetic moment, μB per formula unit: 0.00